Record 1
Below is a relaxed structure of TeMoIrN2, with properties calculated at the GGA-PBE level.

- E (eV/cell) = -34.8
- formation energy (no corrections) (meV/atom) = 944
- SG = P4/mmm
- total moment (μB/atom) = 0.237
- ΔE to the lowest computed polymorph (meV per atom) = 0

a = 3.8718 Å, b = 3.8718 Å, c = 5.8690 Å
α = 90.00°, β = 90.00°, γ = 90.00°
Closest atoms and distances in Å follow each position.
Fractional coordinates of all 5 atoms:
N 0.5000 0.0000 0.0000  2 Mo 1.94
N 0.0000 0.5000 0.0000  2 Mo 1.94
Mo 0.0000 0.0000 0.0000  4 N 1.94
Ir 0.5000 0.5000 0.5000  4 Te 2.74
Te 0.0000 0.0000 0.5000  4 Ir 2.74, 2 Mo 2.93

Record 2
Below is a relaxed structure of TeMoIrN2, with properties calculated at the GGA-PBE level.

- E (eV/cell) = -33.3
- formation energy (no corrections) (meV/atom) = 1232
- SG = P4/mmm
- total moment (μB/atom) = 0.730
- ΔE to the lowest computed polymorph (meV per atom) = 288

a = 3.8019 Å, b = 3.8019 Å, c = 7.1777 Å
α = 90.00°, β = 90.00°, γ = 90.00°
Closest atoms and distances in Å follow each position.
Fractional coordinates of all 5 atoms:
N 0.5000 0.0000 0.0000  2 Ir 1.90
N 0.0000 0.5000 0.0000  2 Ir 1.90
Mo 0.5000 0.5000 0.5000  4 Te 2.69
Ir 0.0000 0.0000 0.0000  4 N 1.90
Te 0.0000 0.0000 0.5000  4 Mo 2.69

Record 3
Below is a relaxed structure of Ti2MoIrN, with properties calculated at the GGA-PBE level.

- E (eV/cell) = -47.9
- formation energy (no corrections) (meV/atom) = -810
- SG = P4/mmm
- total moment (μB/atom) = 0.000

a = 4.1116 Å, b = 4.1116 Å, c = 4.0383 Å
α = 90.00°, β = 90.00°, γ = 90.00°
Closest atoms and distances in Å follow each position.
Fractional coordinates of all 5 atoms:
Ti 0.5000 0.0000 0.0000  2 N 2.06
Ti 0.0000 0.5000 0.0000  2 N 2.06
N 0.0000 0.0000 0.0000  2 Mo 2.02, 4 Ti 2.06
Ir 0.5000 0.5000 0.5000  8 Ti 2.88, 4 Mo 2.91
Mo 0.0000 0.0000 0.5000  2 N 2.02

Record 4
Below is a relaxed structure of V2MoIrN, with properties calculated at the GGA-PBE level.

- E (eV/cell) = -49.0
- formation energy (no corrections) (meV/atom) = -549
- SG = P4/mmm
- total moment (μB/atom) = 0.000

a = 3.9422 Å, b = 3.9422 Å, c = 4.0630 Å
α = 90.00°, β = 90.00°, γ = 90.00°
Closest atoms and distances in Å follow each position.
Fractional coordinates of all 5 atoms:
V 0.0000 0.5000 0.0000  2 N 1.97
V 0.5000 0.0000 0.0000  2 N 1.97
N 0.0000 0.0000 0.0000  4 V 1.97, 2 Mo 2.03
Mo 0.0000 0.0000 0.5000  2 N 2.03
Ir 0.5000 0.5000 0.5000  4 Mo 2.79, 8 V 2.83

Question: Look up the E of the third one.
Answer: -47.9 eV/cell

Question: What is the E in the second record?
Answer: -33.3 eV/cell

Question: What is the total moment in the second record?
Answer: 0.730 μB/atom